# CaPaP

A geometry-optimized CaPaP structure (PBE, the Alexandria database).

Output
The volume is 321.48 Å³/cell. The calculation puts the energy of formation at -1.0 eV/f.u.

The structure in CIF format:
```
data_CaPaP
_chemical_formula_sum 'Ca4 Pa4 P4'
_cell_length_a 14.008
_cell_length_b 3.639
_cell_length_c 6.307
_cell_angle_alpha 90.00
_cell_angle_beta 90.00
_cell_angle_gamma 90.00
_symmetry_space_group_name_H-M 'A m m 2'
_symmetry_Int_Tables_number 38
loop_
_symmetry_equiv_pos_as_xyz
'x,y,z'
'-x,-y,z'
'-x,y,z'
'x,-y,z'
'x,y+1/2,z+1/2'
'-x,-y+1/2,z+1/2'
'-x,y+1/2,z+1/2'
'x,-y+1/2,z+1/2'
loop_
_atom_site_label
_atom_site_fract_x
_atom_site_fract_y
_atom_site_fract_z
Ca1 0.131 0.000 0.000
Pa1 0.369 0.000 0.332
P1 0.000 0.000 0.333
P2 0.500 0.000 0.999
```

# LiIn3Pt4

A geometry-optimized LiIn3Pt4 structure (PBE, the Alexandria database).

Output
The volume is 272.03 Å³/cell. The calculation puts the energy of formation at -4.0 eV/f.u.

The structure in CIF format:
```
data_LiIn3Pt4
_chemical_formula_sum 'Li2 In6 Pt8'
_cell_length_a 15.879
_cell_length_b 4.214
_cell_length_c 4.214
_cell_angle_alpha 90.00
_cell_angle_beta 105.24
_cell_angle_gamma 90.00
_symmetry_space_group_name_H-M 'C 1 2/m 1'
_symmetry_Int_Tables_number 12
loop_
_symmetry_equiv_pos_as_xyz
'x,y,z'
'-x,-y,-z'
'-x,y,-z'
'x,-y,z'
'x+1/2,y+1/2,z'
'-x+1/2,-y+1/2,-z'
'-x+1/2,y+1/2,-z'
'x+1/2,-y+1/2,z'
loop_
_atom_site_label
_atom_site_fract_x
_atom_site_fract_y
_atom_site_fract_z
Li1 0.000 0.000 0.000
In1 0.000 0.500 0.500
In2 0.247 0.000 0.248
Pt1 0.123 0.000 0.624
Pt2 0.123 0.500 0.123
```

# Th3FeAu

A geometry-optimized Th3FeAu structure (PBE, the Alexandria database).

Output
The volume is 265.42 Å³/cell. The calculation puts the energy of formation at -1.4 eV/f.u.

The structure in CIF format:
```
data_Th3FeAu
_chemical_formula_sum 'Th6 Fe2 Au2'
_cell_length_a 8.338
_cell_length_b 3.923
_cell_length_c 8.518
_cell_angle_alpha 90.00
_cell_angle_beta 107.70
_cell_angle_gamma 90.00
_symmetry_space_group_name_H-M 'P 1 21/m 1'
_symmetry_Int_Tables_number 11
loop_
_symmetry_equiv_pos_as_xyz
'x,y,z'
'-x,-y,-z'
'-x,y+1/2,-z'
'x,-y+1/2,z'
loop_
_atom_site_label
_atom_site_fract_x
_atom_site_fract_y
_atom_site_fract_z
Th1 0.054 0.250 0.269
Th2 0.313 0.250 0.965
Th3 0.326 0.750 0.615
Fe1 0.098 0.250 0.619
Au1 0.360 0.750 0.256
```